1.
{
  "formula": "Li4IBr2Cl",
  "functional": "GGA-PBE",
  "state": "optimized geometry",
  "cell": [[8.4508, 0.0000, 0.0000], [0.0000, 7.2974, 0.0000], [0.0000, 0.0000, 6.8153]],
  "species": ["Li", "Li", "Li", "Li", "Li", "Li", "Li", "Li", "I", "I", "Br", "Br", "Br", "Br", "Cl", "Cl"],
  "frac_coords": [[0.0000, 0.1470, 0.0000], [0.0000, 0.8032, 0.4388], [0.2276, 0.6672, 0.9621], [0.2724, 0.3328, 0.4621], [0.5000, 0.1968, 0.9388], [0.5000, 0.8530, 0.5000], [0.7276, 0.3328, 0.4621], [0.7724, 0.6672, 0.9621], [0.0000, 0.1573, 0.5884], [0.5000, 0.8427, 0.0884], [0.2495, 0.3370, 0.0870], [0.2505, 0.6630, 0.5870], [0.7495, 0.6630, 0.5870], [0.7505, 0.3370, 0.0870], [0.0000, 0.8244, 0.0872], [0.5000, 0.1756, 0.5872]],
  "e_tot_ev_per_fu": -26.6,
  "rho_g_cm3": 2.77,
  "raw_formation_energy_mev_per_atom": -1528
}

2.
{
  "formula": "TbTiAlPt2",
  "functional": "GGA-PBE",
  "state": "optimized geometry",
  "cell": [[-2.0347, 2.0347, 5.8096], [2.0347, -2.0347, 5.8096], [2.0347, 2.0347, -5.8096]],
  "species": ["Tb", "Ti", "Al", "Pt", "Pt"],
  "frac_coords": [[0.0000, 0.0000, 0.0000], [0.2500, 0.7500, 0.5000], [0.7500, 0.2500, 0.5000], [0.3855, 0.3855, 0.0000], [0.6145, 0.6145, 0.0000]],
  "e_tot_ev_per_fu": -33.6,
  "e_form_ev_per_atom": -1.05,
  "rho_g_cm3": 10.77
}

3.
{
  "formula": "SbAsH",
  "functional": "GGA-PBE",
  "state": "optimized geometry",
  "cell": [[4.8579, 0.0000, 0.0000], [-0.8162, 5.0130, 0.0000], [-2.3975, -1.4585, 5.8312]],
  "species": ["Sb", "Sb", "As", "As", "H", "H"],
  "frac_coords": [[0.1305, 0.3124, 0.3958], [0.8695, 0.6876, 0.6042], [0.3758, 0.1118, 0.7744], [0.6242, 0.8882, 0.2256], [0.2308, 0.2775, 0.9115], [0.7692, 0.7225, 0.0885]],
  "e_tot_ev_per_fu": -11.8,
  "rho_g_cm3": 4.62,
  "relative_energy_mev_per_atom": 58
}

4.
{
  "formula": "RbTlGa4",
  "functional": "GGA-PBE",
  "state": "optimized geometry",
  "cell": [[0.0000, 4.2284, 4.2284], [4.2284, 0.0000, 4.2284], [4.2284, 4.2284, 0.0000]],
  "species": ["Rb", "Tl", "Ga", "Ga", "Ga", "Ga"],
  "frac_coords": [[0.0000, 0.0000, 0.0000], [0.7500, 0.7500, 0.7500], [0.3755, 0.3755, 0.3755], [0.3755, 0.3755, 0.8735], [0.3755, 0.8735, 0.3755], [0.8735, 0.3755, 0.3755]],
  "e_tot_ev_per_fu": -15.1,
  "e_form_ev_per_atom": 0.06,
  "rho_g_cm3": 6.25
}

What did the fourth record say?
{
  "formula": "RbTlGa4",
  "functional": "GGA-PBE",
  "state": "optimized geometry",
  "cell": [[0.0000, 4.2284, 4.2284], [4.2284, 0.0000, 4.2284], [4.2284, 4.2284, 0.0000]],
  "species": ["Rb", "Tl", "Ga", "Ga", "Ga", "Ga"],
  "frac_coords": [[0.0000, 0.0000, 0.0000], [0.7500, 0.7500, 0.7500], [0.3755, 0.3755, 0.3755], [0.3755, 0.3755, 0.8735], [0.3755, 0.8735, 0.3755], [0.8735, 0.3755, 0.3755]],
  "e_tot_ev_per_fu": -15.1,
  "e_form_ev_per_atom": 0.06,
  "rho_g_cm3": 6.25
}

What is the formula in the first record? Li4IBr2Cl

Please write out number 2 again, unchanged.
{
  "formula": "TbTiAlPt2",
  "functional": "GGA-PBE",
  "state": "optimized geometry",
  "cell": [[-2.0347, 2.0347, 5.8096], [2.0347, -2.0347, 5.8096], [2.0347, 2.0347, -5.8096]],
  "species": ["Tb", "Ti", "Al", "Pt", "Pt"],
  "frac_coords": [[0.0000, 0.0000, 0.0000], [0.2500, 0.7500, 0.5000], [0.7500, 0.2500, 0.5000], [0.3855, 0.3855, 0.0000], [0.6145, 0.6145, 0.0000]],
  "e_tot_ev_per_fu": -33.6,
  "e_form_ev_per_atom": -1.05,
  "rho_g_cm3": 10.77
}